(1)
This record from Alexandria via LeMat-Bulk describes a crystal of SrZnAg relaxed with PBEsol. The functional is meta-GGA SCAN.

It has space group P-6m2 (No. 187), with a = 4.5306 Å, b = 4.5306 Å, c = 4.2098 Å, α = 90.00°, β = 90.00° and γ = 120.00°. The inequivalent atoms are Sr at (0.0000, 0.0000, 0.0000), Zn at (0.3333, 0.6667, 0.5000) and Ag at (0.6667, 0.3333, 0.5000).

The energy of formation comes out at -28.6 kJ/mol of atoms.

(2)
This record from Alexandria via LeMat-Bulk describes a crystal of SrZn2Ag2 relaxed with PBEsol. The functional is meta-GGA SCAN.

It has space group I4/mmm (No. 139), with a = 4.430 Å, b = 4.430 Å, c = 10.811 Å, α = 90.00°, β = 90.00° and γ = 90.00°. The inequivalent atoms are Sr at (0.000, 0.000, 0.000), Zn at (0.000, 0.500, 0.250) and Ag at (0.000, 0.000, 0.376).

The energy of formation comes out at -18.5 kJ/mol of atoms.

(3)
This record from Alexandria via LeMat-Bulk describes a crystal of SrZr2Ag relaxed with PBEsol. The functional is meta-GGA SCAN.

It has space group Pmmm (No. 47), with a = 3.191 Å, b = 4.010 Å, c = 8.040 Å, α = 90.00°, β = 90.00° and γ = 90.00°. The inequivalent atoms are Sr at (0.000, 0.000, 0.000), Zr at (0.500, 0.500, 0.328) and Ag at (0.000, 0.000, 0.500).

The energy of formation comes out at 37.4 kJ/mol of atoms.

(4)
This record from Alexandria via LeMat-Bulk describes a crystal of SrZr2Ag relaxed with PBEsol. The functional is meta-GGA SCAN.

It has space group Pmmm (No. 47), with a = 3.241 Å, b = 5.156 Å, c = 5.695 Å, α = 90.00°, β = 90.00° and γ = 90.00°. The inequivalent atoms are Sr at (0.000, 0.000, 0.000), Zr at (0.000, 0.500, 0.500), Zr at (0.500, 0.000, 0.500) and Ag at (0.500, 0.500, 0.000).

The energy of formation comes out at 35.9 kJ/mol of atoms.

(5)
This record from Alexandria via LeMat-Bulk describes a crystal of Sr2ZrAg relaxed with PBEsol. The functional is meta-GGA SCAN.

It has space group Amm2 (No. 38), with a = 4.945 Å, b = 3.894 Å, c = 12.869 Å, α = 90.00°, β = 90.00° and γ = 90.00°. The inequivalent atoms are Sr at (0.000, 0.000, 0.000), Sr at (0.500, 0.000, 0.318), Zr at (0.500, 0.000, 0.606) and Ag at (0.000, 0.000, 0.713).

The energy of formation comes out at 31.9 kJ/mol of atoms.

(6)
This record from Alexandria via LeMat-Bulk describes a crystal of Ta2Ag relaxed with PBEsol. The functional is meta-GGA SCAN.

It has space group I4_1/amd (No. 141, origin choice 2), with a = 2.827 Å, b = 2.827 Å, c = 26.747 Å, α = 90.00°, β = 90.00° and γ = 90.00°. The inequivalent atoms are Ta at (0.000, 0.250, 0.294) and Ag at (0.000, 0.250, 0.875).

The energy of formation comes out at 39.8 kJ/mol of atoms.

(7)
This record from Alexandria via LeMat-Bulk describes a crystal of Ta3Ag relaxed with PBEsol. The functional is meta-GGA SCAN.

It has space group P4/mmm (No. 123), with a = 4.375 Å, b = 4.375 Å, c = 3.595 Å, α = 90.00°, β = 90.00° and γ = 90.00°. The inequivalent atoms are Ta at (0.000, 0.000, 0.000), Ta at (0.000, 0.500, 0.500) and Ag at (0.500, 0.500, 0.000).

The energy of formation comes out at 24.0 kJ/mol of atoms.

(8)
This record from Alexandria via LeMat-Bulk describes a crystal of Ta3Ag relaxed with PBEsol. The functional is meta-GGA SCAN.

It has space group I4/mmm (No. 139), with a = 4.078 Å, b = 4.078 Å, c = 8.372 Å, α = 90.00°, β = 90.00° and γ = 90.00°. The inequivalent atoms are Ta at (0.000, 0.000, 0.000), Ta at (0.000, 0.500, 0.250) and Ag at (0.000, 0.000, 0.500).

The energy of formation comes out at 27.4 kJ/mol of atoms.

(9)
This record from Alexandria via LeMat-Bulk describes a crystal of Ta3Ag relaxed with PBEsol. The functional is meta-GGA SCAN.

It has space group R-3m (No. 166, hexagonal axes), with a = 9.3245 Å, b = 9.3245 Å, c = 2.7496 Å, α = 90.00°, β = 90.00° and γ = 120.00°. The inequivalent atoms are Ta at (0.0000, 0.5000, 0.0000) and Ag at (0.0000, 0.0000, 0.0000).

The energy of formation comes out at 21.0 kJ/mol of atoms.

(10)
This record from Alexandria via LeMat-Bulk describes a crystal of TaAg relaxed with PBEsol. The functional is meta-GGA SCAN.

It has space group F-43m (No. 216), with a = 5.866 Å, b = 5.866 Å, c = 5.866 Å, α = 90.00°, β = 90.00° and γ = 90.00°. The inequivalent atoms are Ta at (0.000, 0.000, 0.000) and Ag at (0.250, 0.250, 0.750).

The energy of formation comes out at 210.9 kJ/mol of atoms.

(11)
This record from Alexandria via LeMat-Bulk describes a crystal of TaAg relaxed with PBEsol. The functional is meta-GGA SCAN.

It has space group Cm (No. 8), with a = 11.056 Å, b = 2.836 Å, c = 6.758 Å, α = 90.00°, β = 105.07° and γ = 90.00°. The inequivalent atoms are Ta at (0.000, 0.000, 0.000), Ta at (0.048, 0.000, 0.600), Ta at (0.391, 0.000, 0.270), Ag at (0.170, 0.500, 0.332), Ag at (0.219, 0.500, 0.939) and Ag at (0.329, 0.000, 0.667).

The energy of formation comes out at 33.5 kJ/mol of atoms.

(12)
This record from Alexandria via LeMat-Bulk describes a crystal of Ta2Ag relaxed with PBEsol. The functional is meta-GGA SCAN.

It has space group Pnnm (No. 58), with a = 2.631 Å, b = 8.529 Å, c = 4.682 Å, α = 90.00°, β = 90.00° and γ = 90.00°. The inequivalent atoms are Ta at (0.181, 0.166, 0.000) and Ag at (0.000, 0.500, 0.000).

The energy of formation comes out at 38.7 kJ/mol of atoms.

(13)
This record from Alexandria via LeMat-Bulk describes a crystal of TaAg relaxed with PBEsol. The functional is meta-GGA SCAN.

It has space group R-3m (No. 166, hexagonal axes), with a = 2.8331 Å, b = 2.8331 Å, c = 14.7716 Å, α = 90.00°, β = 90.00° and γ = 120.00°. The inequivalent atoms are Ta at (0.0000, 0.0000, 0.0000) and Ag at (0.0000, 0.0000, 0.5000).

The energy of formation comes out at 33.5 kJ/mol of atoms.

(14)
This record from Alexandria via LeMat-Bulk describes a crystal of TaAg2 relaxed with PBEsol. The functional is meta-GGA SCAN.

It has space group I4/mcm (No. 140), with a = 6.640 Å, b = 6.640 Å, c = 5.026 Å, α = 90.00°, β = 90.00° and γ = 90.00°. The inequivalent atoms are Ta at (0.000, 0.000, 0.250) and Ag at (0.144, 0.356, 0.000).

The energy of formation comes out at 65.1 kJ/mol of atoms.

(15)
This record from Alexandria via LeMat-Bulk describes a crystal of TaAg relaxed with PBEsol. The functional is meta-GGA SCAN.

It has space group Cmme (No. 67), with a = 3.481 Å, b = 4.351 Å, c = 8.999 Å, α = 90.00°, β = 90.00° and γ = 90.00°. The inequivalent atoms are Ta at (0.000, 0.250, 0.123) and Ag at (0.000, 0.250, 0.624).

The energy of formation comes out at 12.2 kJ/mol of atoms.

Number 1: uncorrected energy -22.682 eV/atom, calculated volume 24.9 Å³/atom. Number 2: uncorrected energy -22.599 eV/atom, calculated volume 21.2 Å³/atom. Number 3: uncorrected energy -28.372 eV/atom, calculated volume 25.7 Å³/atom. Number 4: uncorrected energy -28.388 eV/atom, calculated volume 23.8 Å³/atom. Number 5: uncorrected energy -26.324 eV/atom, calculated volume 31.0 Å³/atom. Number 6: uncorrected energy -54.432 eV/atom, calculated volume 17.8 Å³/atom. Number 7: uncorrected energy -57.531 eV/atom, calculated volume 17.2 Å³/atom. Number 8: uncorrected energy -57.495 eV/atom, calculated volume 17.4 Å³/atom. Number 9: uncorrected energy -57.561 eV/atom, calculated volume 17.3 Å³/atom. Number 10: uncorrected energy -46.790 eV/atom, calculated volume 25.2 Å³/atom. Number 11: uncorrected energy -48.628 eV/atom, calculated volume 17.1 Å³/atom. Number 12: uncorrected energy -54.444 eV/atom, calculated volume 17.5 Å³/atom. Number 13: uncorrected energy -48.628 eV/atom, calculated volume 17.1 Å³/atom. Number 14: uncorrected energy -42.431 eV/atom, calculated volume 18.5 Å³/atom. Number 15: uncorrected energy -48.848 eV/atom, calculated volume 17.0 Å³/atom.